Record 1
Entry from Alexandria via LeMat-Bulk: a relaxed LuNbNiRu crystal (GGA-PBE).

## Properties
Volume (Å³ per cell): 67
DOS at the Fermi energy (states/eV per cell): 3.72
Space-group type: F-43m
Uncorrected energy (eV/atom): -7.68
Crystal system: cubic
Calculated formation energy (eV/atom): -0.269

Cell and atoms, written as extended XYZ:
```
4
Lattice="-3.366 -2.555 1.705 0.931 -4.066 1.834 -0.346 -0.602 4.504" Properties=species:S:1:pos:R:3 pbc="T T T"
Ru -2.086 -5.417 6.032
Nb -1.391 -3.611 4.021
Lu 0.000 0.000 0.000
Ni -0.695 -1.806 2.011
```

=====

Record 2
Entry from Alexandria via LeMat-Bulk: a relaxed P2C crystal (GGA-PBE).

## Properties
Volume (Å³ per cell): 48
DOS at the Fermi energy (states/eV per cell): 1.20
Polymorph energy (0 for the lowest one) (eV per atom): 0.478
Space-group type: R3m
Uncorrected energy (eV/atom): -5.77
Crystal system: trigonal
Calculated formation energy (eV/atom): 0.909

Cell and atoms, written as extended XYZ:
```
3
Lattice="7.148 0.005 0.003 6.585 2.780 0.003 6.585 1.335 2.438" Properties=species:S:1:pos:R:3 pbc="T T T"
P 9.494 1.925 1.142
P 5.128 1.040 0.617
C 19.244 3.903 2.315
```

=====

Record 3
Entry from Alexandria via LeMat-Bulk: a relaxed TaB2As2 crystal (GGA-PBE).

## Properties
Volume (Å³ per cell): 145
DOS at the Fermi energy (states/eV per cell): 3.40
Polymorph energy (0 for the lowest one) (eV per atom): 0.000
Space-group type: P4/mbm
Uncorrected energy (eV/atom): -6.31
Crystal system: tetragonal
Calculated formation energy (eV/atom): 0.593

Cell and atoms, written as extended XYZ:
```
10
Lattice="6.586 0.000 0.000 0.000 6.586 0.000 0.000 0.000 3.350" Properties=species:S:1:pos:R:3 pbc="T T T"
B 4.727 1.434 0.000
B 5.151 4.727 0.000
B 1.434 1.859 0.000
B 1.859 5.151 0.000
As 5.585 2.292 1.675
As 1.001 4.294 1.675
As 4.294 5.585 1.675
As 2.292 1.001 1.675
Ta 0.000 0.000 0.000
Ta 3.293 3.293 0.000
```

=====

Record 4
Entry from Alexandria via LeMat-Bulk: a relaxed Ce2Al5Zn12 crystal (GGA-PBE).

## Properties
Volume (Å³ per cell): 321
DOS at the Fermi energy (states/eV per cell): 13.94
Space-group type: R-3m
Uncorrected energy (eV/atom): -2.62
Crystal system: trigonal
Calculated formation energy (eV/atom): -0.207

Cell and atoms, written as extended XYZ:
```
19
Lattice="-5.370 -0.289 4.324 0.750 -6.600 1.867 3.519 1.145 5.824" Properties=species:S:1:pos:R:3 pbc="T T T"
Zn 1.307 -1.481 7.060
Zn -2.978 -2.173 6.337
Zn -2.407 -4.263 4.955
Zn 1.579 -4.282 3.052
Zn -0.028 -5.215 5.153
Zn 1.877 -3.572 5.678
Zn -2.709 0.140 4.773
Zn -1.082 -4.711 2.603
Zn 0.858 0.716 5.375
Zn -3.538 -2.178 3.589
Zn -1.072 -0.529 6.862
Zn 2.690 -1.173 4.640
Ce -0.364 -1.900 3.974
Ce -0.736 -3.844 8.041
Al 0.375 -3.300 0.934
Al -0.109 -0.568 1.187
Al 1.760 0.573 2.912
Al -2.685 -0.145 2.162
Al -0.992 -5.177 10.828
```

=====

Record 5
Entry from Alexandria via LeMat-Bulk: a relaxed Tb4CePm3S8 crystal (GGA-PBE).

## Properties
Energy relative to the elements, uncorrected (eV per atom): -2.028
Volume (Å³ per cell): 356
DOS at the Fermi energy (states/eV per cell): 11.30
Space-group type: R-3m
Uncorrected energy (eV/atom): -6.51
Crystal system: trigonal

Cell and atoms, written as extended XYZ:
```
16
Lattice="7.935 0.000 0.000 0.000 7.979 0.026 -3.967 -3.964 5.613" Properties=species:S:1:pos:R:3 pbc="T T T"
S 5.957 6.032 0.057
S 0.000 -0.042 2.774
S 0.000 4.056 2.855
S 3.967 -0.041 2.784
S 1.990 -2.016 5.582
S 1.978 6.032 0.057
S 3.967 4.057 2.865
S -1.990 -2.016 5.582
Pm -1.984 2.008 2.819
Pm 3.967 3.989 0.013
Pm 1.984 2.008 2.819
Tb 0.000 0.000 0.000
Tb 3.967 0.000 0.000
Tb -1.984 -1.982 2.806
Tb 1.984 -1.982 2.806
Ce 0.000 3.989 0.013
```

=====

Record 6
Entry from Alexandria via LeMat-Bulk: a relaxed CaHg3Ge crystal (GGA-PBE).

## Properties
Volume (Å³ per cell): 191
DOS at the Fermi energy (states/eV per cell): 6.41
Polymorph energy (0 for the lowest one) (eV per atom): 0.564
Space-group type: Pm-3m
Uncorrected energy (eV/atom): -0.92
Crystal system: cubic
Calculated formation energy (eV/atom): 0.588

Cell and atoms, written as extended XYZ:
```
5
Lattice="5.761 0.000 0.000 0.000 5.761 0.000 0.000 0.000 5.761" Properties=species:S:1:pos:R:3 pbc="T T T"
Ca 0.000 0.000 0.000
Ge 2.880 2.880 2.880
Hg 0.000 2.880 0.000
Hg 2.880 0.000 0.000
Hg 0.000 0.000 2.880
```

=====

Record 7
Entry from Alexandria via LeMat-Bulk: a relaxed LiUC crystal (GGA-PBE).

## Properties
Volume (Å³ per cell): 82
DOS at the Fermi energy (states/eV per cell): 4.29
Space-group type: R-3m
Uncorrected energy (eV/atom): -7.34
Crystal system: trigonal
Calculated formation energy (eV/atom): 0.137

Cell and atoms, written as extended XYZ:
```
6
Lattice="-0.958 3.468 -0.659 -3.300 1.210 1.012 1.206 3.476 6.387" Properties=species:S:1:pos:R:3 pbc="T T T"
Li -2.624 3.276 0.748
Li -0.429 4.879 5.991
C -2.232 6.158 5.191
C -0.820 1.997 1.548
U 0.181 2.728 3.939
U -3.233 5.427 2.800
```

=====

Record 8
Entry from Alexandria via LeMat-Bulk: a relaxed ZrOsBr2 crystal (GGA-PBE).

## Properties
Energy relative to the elements, uncorrected (eV per atom): 0.760
Volume (Å³ per cell): 75
DOS at the Fermi energy (states/eV per cell): 4.69
Polymorph energy (0 for the lowest one) (eV per atom): 1.011
Space-group type: P4/mmm
Uncorrected energy (eV/atom): -5.02
Crystal system: tetragonal

Cell and atoms, written as extended XYZ:
```
4
Lattice="-1.722 0.703 2.835 -0.946 -3.246 0.230 5.343 -1.303 3.568" Properties=species:S:1:pos:R:3 pbc="T T T"
Br 5.290 -1.290 3.533
Br 2.724 -0.664 1.819
Zr 2.673 -2.249 4.209
Os 0.002 -1.598 2.425
```